The following is a PBE calculation of a relaxed structure of Pr4In5Ir2, from the Alexandria database.

a b c (Å): 7.8426 3.8514 9.8343
angles (deg): 90.00 93.67 90.00
Last column: nearest neighbours and their distance in Å.
Sites, in units of the cell vectors:
Pr (0.1724, 0.0000, 0.3515)  2 Ir 2.91
Pr (0.2233, 0.0000, 0.9436)  4 Ir 3.02-3.09
Pr (0.7767, 0.0000, 0.0564)  4 Ir 3.02-3.09
Pr (0.8276, 0.0000, 0.6485)  2 Ir 2.91
In (0.1778, 0.5000, 0.6527)  1 Ir 2.93, 2 In 3.02-3.27
In (0.4485, 0.5000, 0.1797)  1 Ir 2.95, 2 In 3.15-3.27
In (0.5000, 0.5000, 0.5000)  4 In 3.02-3.15
In (0.5515, 0.5000, 0.8203)  1 Ir 2.95, 2 In 3.15-3.27
In (0.8222, 0.5000, 0.3473)  1 Ir 2.93, 2 In 3.02-3.27
Ir (0.0729, 0.5000, 0.1395)  1 Ir 2.90, 6 Pr 2.91-3.09, 2 In 2.93-2.95
Ir (0.9271, 0.5000, 0.8605)  1 Ir 2.90, 6 Pr 2.91-3.09, 2 In 2.93-2.95

Results
**Symmetry**: P2/m, No. 10
**Calculated formation energy**: -0.5159 eV per atom